Model A:
{"formula": "Hf6InBi", "functional": "GGA-PBE", "state": "optimized geometry", "cell": [[5.170, 0.000, 0.000], [0.000, 5.767, -2.566], [0.000, -0.513, 6.292]], "species": ["Hf", "Hf", "Hf", "Hf", "Hf", "Hf", "In", "Bi"], "fractional_positions": [[0.500, 0.165, 0.353], [0.500, 0.647, 0.835], [0.000, 0.353, 0.170], [0.000, 0.830, 0.647], [0.000, 0.345, 0.655], [0.000, 0.840, 0.160], [0.500, 0.666, 0.334], [0.500, 0.154, 0.846]], "spacegroup": "No. 38"}

Model B:
{"formula": "Hf6InBi", "functional": "GGA-PBE", "state": "optimized geometry", "cell": [[-6.657, 1.496, 4.077], [-2.490, -5.117, 5.568], [-1.312, 0.385, 5.457]], "species": ["Hf", "Hf", "Hf", "Hf", "Hf", "Hf", "In", "Bi"], "fractional_positions": [[0.999, 0.501, 0.753], [0.747, 0.000, 0.752], [0.500, 0.252, 0.249], [0.253, 0.000, 0.248], [0.001, 0.499, 0.247], [0.500, 0.748, 0.751], [0.500, 0.500, 0.500], [0.000, 0.000, 0.000]], "spacegroup": "No. 2"}

Most stable: model B

Model A:
{"formula": "Hf2InBi2", "functional": "GGA-PBE", "state": "optimized geometry", "cell": [[8.450, 0.000, 0.000], [0.000, 8.450, 0.000], [0.000, 0.000, 3.716]], "species": ["Hf", "Hf", "Hf", "Hf", "Bi", "Bi", "Bi", "Bi", "In", "In"], "fractional_positions": [[0.132, 0.632, 0.500], [0.632, 0.868, 0.500], [0.868, 0.368, 0.500], [0.368, 0.132, 0.500], [0.345, 0.845, 0.000], [0.845, 0.655, 0.000], [0.655, 0.155, 0.000], [0.155, 0.345, 0.000], [0.000, 0.000, 0.000], [0.500, 0.500, 0.000]], "spacegroup": "No. 127"}

Model B:
{"formula": "Hf2InBi2", "functional": "GGA-PBE", "state": "optimized geometry", "cell": [[-3.880, -4.816, -5.050], [6.513, -4.573, -0.643], [-1.253, -2.218, 3.078]], "species": ["Hf", "Hf", "Hf", "Hf", "Bi", "Bi", "Bi", "Bi", "In", "In"], "fractional_positions": [[0.358, 0.858, 0.000], [0.858, 0.642, 0.000], [0.642, 0.142, 0.000], [0.142, 0.358, 0.000], [0.156, 0.656, 0.500], [0.656, 0.844, 0.500], [0.844, 0.344, 0.500], [0.344, 0.156, 0.500], [0.000, 0.000, 0.000], [0.500, 0.500, 0.000]], "spacegroup": "No. 127"}

Most stable: model B

Model A:
{"formula": "HfZnInBi2", "functional": "GGA-PBE", "state": "optimized geometry", "cell": [[5.687, 0.000, 0.000], [0.000, 5.489, 0.000], [0.000, 0.000, 5.687]], "species": ["Zn", "Hf", "Bi", "Bi", "In"], "fractional_positions": [[0.500, 0.500, 0.500], [0.000, 0.500, 0.000], [0.000, 0.000, 0.500], [0.500, 0.000, 0.000], [0.000, 0.000, 0.000]], "spacegroup": "No. 123"}

Model B:
{"formula": "HfZnInBi2", "functional": "GGA-PBE", "state": "optimized geometry", "cell": [[-3.960, 4.159, 0.545], [-0.442, -1.028, 4.639], [4.160, 3.799, 1.238]], "species": ["Zn", "Hf", "Bi", "Bi", "In"], "fractional_positions": [[0.000, 0.500, 0.000], [0.500, 0.500, 0.500], [0.000, 0.000, 0.500], [0.500, 0.000, 0.000], [0.000, 0.000, 0.000]], "spacegroup": "No. 123"}

Most stable: model B

Model A:
{"formula": "KHf3Bi", "functional": "GGA-PBE", "state": "optimized geometry", "cell": [[-1.728, -4.390, 1.812], [3.237, 0.323, 3.867], [-3.475, 2.483, 2.701]], "species": ["K", "Hf", "Hf", "Hf", "Bi"], "fractional_positions": [[0.000, 0.000, 0.000], [0.000, 0.500, 0.000], [0.000, 0.000, 0.500], [0.500, 0.000, 0.000], [0.500, 0.500, 0.500]], "spacegroup": "No. 221"}

Model B:
{"formula": "KHf3Bi", "functional": "GGA-PBE", "state": "optimized geometry", "cell": [[-4.604, 1.558, 2.675], [0.911, -3.900, 3.839], [2.958, 3.625, 2.980]], "species": ["K", "Hf", "Hf", "Hf", "Bi"], "fractional_positions": [[0.500, 0.500, 0.500], [0.000, 0.500, 0.000], [0.000, 0.000, 0.500], [0.500, 0.000, 0.000], [0.000, 0.000, 0.000]], "spacegroup": "No. 221"}

Most stable: model B

Model A:
{"formula": "LaHf2Bi2", "functional": "GGA-PBE", "state": "optimized geometry", "cell": [[-4.240, -6.228, 3.828], [5.110, -5.689, -3.596], [2.339, 0.228, 2.962]], "species": ["Hf", "Hf", "Hf", "Hf", "Bi", "Bi", "Bi", "Bi", "La", "La"], "fractional_positions": [[0.145, 0.645, 0.500], [0.645, 0.855, 0.500], [0.855, 0.355, 0.500], [0.355, 0.145, 0.500], [0.356, 0.856, 0.000], [0.856, 0.644, 0.000], [0.644, 0.144, 0.000], [0.144, 0.356, 0.000], [0.000, 0.000, 0.000], [0.500, 0.500, 0.000]], "spacegroup": "No. 127"}

Model B:
{"formula": "LaHf2Bi2", "functional": "GGA-PBE", "state": "optimized geometry", "cell": [[4.334, 0.000, 0.000], [0.000, 4.334, 0.000], [2.167, 2.167, 7.519]], "species": ["Hf", "Hf", "Bi", "Bi", "La"], "fractional_positions": [[0.750, 0.250, 0.500], [0.250, 0.750, 0.500], [0.391, 0.391, 0.219], [0.609, 0.609, 0.781], [0.000, 0.000, 0.000]], "spacegroup": "No. 139"}

Most stable: model B

Model A:
{"formula": "Li2HfBi2", "functional": "GGA-PBE", "state": "optimized geometry", "cell": [[3.783, 0.000, 0.000], [0.000, 3.783, 0.000], [1.892, 1.892, 7.861]], "species": ["Hf", "Bi", "Bi", "Li", "Li"], "fractional_positions": [[0.000, 0.000, 0.000], [0.390, 0.390, 0.220], [0.610, 0.610, 0.780], [0.750, 0.250, 0.500], [0.250, 0.750, 0.500]], "spacegroup": "No. 139"}

Model B:
{"formula": "Li2HfBi2", "functional": "GGA-PBE", "state": "optimized geometry", "cell": [[-6.045, -5.471, -0.985], [2.589, -1.483, -7.651], [2.025, -2.446, 1.160]], "species": ["Hf", "Hf", "Bi", "Bi", "Bi", "Bi", "Li", "Li", "Li", "Li"], "fractional_positions": [[0.000, 0.000, 0.000], [0.500, 0.500, 0.000], [0.327, 0.827, 0.000], [0.827, 0.673, 0.000], [0.673, 0.173, 0.000], [0.173, 0.327, 0.000], [0.127, 0.627, 0.500], [0.627, 0.873, 0.500], [0.873, 0.373, 0.500], [0.373, 0.127, 0.500]], "spacegroup": "No. 127"}

Most stable: model B

Model A:
{"formula": "LuHfBi", "functional": "GGA-PBE", "state": "optimized geometry", "cell": [[-0.124, 3.136, -2.148], [-3.799, -0.044, 0.155], [2.104, 1.425, 5.324]], "species": ["Lu", "Hf", "Bi"], "fractional_positions": [[0.999, 0.999, 0.998], [0.326, 0.326, 0.651], [0.675, 0.675, 0.351]], "spacegroup": "No. 107"}

Model B:
{"formula": "LuHfBi", "functional": "GGA-PBE", "state": "optimized geometry", "cell": [[3.277, 0.000, 0.000], [0.000, 5.289, 0.000], [0.000, -2.645, 4.581]], "species": ["Lu", "Hf", "Bi"], "fractional_positions": [[0.669, 0.667, 0.333], [0.170, 0.333, 0.667], [0.161, 0.000, 0.000]], "spacegroup": "No. 156"}

Most stable: model A

Model A:
{"formula": "HfMgBi", "functional": "GGA-PBE", "state": "optimized geometry", "cell": [[-1.346, 2.738, 0.971], [-0.165, -1.787, 4.810], [4.114, 2.601, -1.632]], "species": ["Mg", "Hf", "Bi"], "fractional_positions": [[0.419, 0.333, 0.667], [0.965, 0.000, 0.000], [0.616, 0.667, 0.333]], "spacegroup": "No. 156"}

Model B:
{"formula": "HfMgBi", "functional": "GGA-PBE", "state": "optimized geometry", "cell": [[3.250, 0.000, 0.000], [0.000, 5.589, 0.000], [0.000, 0.000, 16.405]], "species": ["Hf", "Hf", "Hf", "Hf", "Bi", "Bi", "Bi", "Bi", "Mg", "Mg", "Mg", "Mg"], "fractional_positions": [[0.000, 0.250, 0.124], [0.500, 0.250, 0.624], [0.000, 0.750, 0.876], [0.500, 0.750, 0.376], [0.497, 0.250, 0.300], [0.003, 0.250, 0.800], [0.503, 0.750, 0.700], [0.997, 0.750, 0.200], [0.502, 0.250, 0.961], [0.998, 0.250, 0.461], [0.498, 0.750, 0.039], [0.002, 0.750, 0.539]], "spacegroup": "No. 62"}

Most stable: model B

Model A:
{"formula": "Hf3MnBi", "functional": "GGA-PBE", "state": "optimized geometry", "cell": [[-2.331, 3.655, 2.152], [-2.788, -3.171, 2.365], [3.196, -0.101, 3.633]], "species": ["Mn", "Hf", "Hf", "Hf", "Bi"], "fractional_positions": [[0.000, 0.000, 0.000], [0.000, 0.500, 0.000], [0.000, 0.000, 0.500], [0.500, 0.000, 0.000], [0.500, 0.500, 0.500]], "spacegroup": "No. 221"}

Model B:
{"formula": "Hf3MnBi", "functional": "GGA-PBE", "state": "optimized geometry", "cell": [[-1.942, 4.276, -0.556], [-6.337, -2.804, 0.574], [3.351, 2.345, 6.331]], "species": ["Hf", "Hf", "Hf", "Hf", "Hf", "Hf", "Mn", "Mn", "Bi", "Bi"], "fractional_positions": [[0.500, 0.291, 0.000], [0.000, 0.877, 0.754], [0.500, 0.709, 0.000], [0.500, 0.500, 0.500], [0.000, 0.123, 0.246], [0.500, 0.000, 0.500], [0.500, 0.103, 0.206], [0.500, 0.897, 0.794], [0.000, 0.641, 0.281], [0.000, 0.359, 0.719]], "spacegroup": "No. 65"}

Model C:
{"formula": "Hf3MnBi", "functional": "GGA-PBE", "state": "optimized geometry", "cell": [[5.327, 0.000, 0.000], [0.000, 5.327, 0.000], [0.000, 0.000, 5.327]], "species": ["Mn", "Hf", "Hf", "Hf", "Bi"], "fractional_positions": [[0.500, 0.500, 0.500], [0.000, 0.500, 0.000], [0.000, 0.000, 0.500], [0.500, 0.000, 0.000], [0.000, 0.000, 0.000]], "spacegroup": "No. 221"}

Most stable: model B

Model A:
{"formula": "HfMnBi3", "functional": "GGA-PBE", "state": "optimized geometry", "cell": [[-5.360, 1.577, 0.261], [-1.575, -5.051, -1.815], [-0.276, -1.812, 5.284]], "species": ["Mn", "Hf", "Bi", "Bi", "Bi"], "fractional_positions": [[0.500, 0.500, 0.500], [0.000, 0.000, 0.000], [0.000, 0.500, 0.000], [0.000, 0.000, 0.500], [0.500, 0.000, 0.000]], "spacegroup": "No. 221"}

Model B:
{"formula": "HfMnBi3", "functional": "GGA-PBE", "state": "optimized geometry", "cell": [[5.229, 0.000, 0.000], [0.000, 5.229, 0.000], [0.000, 0.000, 5.229]], "species": ["Mn", "Hf", "Bi", "Bi", "Bi"], "fractional_positions": [[0.000, 0.000, 0.000], [0.500, 0.500, 0.500], [0.000, 0.500, 0.000], [0.000, 0.000, 0.500], [0.500, 0.000, 0.000]], "spacegroup": "No. 221"}

Most stable: model B

Model A:
{"formula": "HfMnTlBi2", "functional": "GGA-PBE", "state": "optimized geometry", "cell": [[-5.216, 0.433, 2.405], [-1.780, -4.058, -3.129], [1.550, -3.798, 4.043]], "species": ["Tl", "Mn", "Hf", "Bi", "Bi"], "fractional_positions": [[0.000, 0.000, 0.000], [0.500, 0.500, 0.500], [0.000, 0.500, 0.000], [0.000, 0.000, 0.500], [0.500, 0.000, 0.000]], "spacegroup": "No. 123"}

Model B:
{"formula": "HfMnTlBi2", "functional": "GGA-PBE", "state": "optimized geometry", "cell": [[-0.332, 4.366, -2.677], [-2.899, -2.314, -3.415], [-4.186, 1.314, 2.663]], "species": ["Tl", "Mn", "Hf", "Bi", "Bi"], "fractional_positions": [[0.000, 0.500, 0.000], [0.000, 0.000, 0.000], [0.500, 0.500, 0.500], [0.000, 0.000, 0.500], [0.500, 0.000, 0.000]], "spacegroup": "No. 123"}

Most stable: model B

Model A:
{"formula": "YHfMnBi2", "functional": "GGA-PBE", "state": "optimized geometry", "cell": [[-3.600, -2.299, 2.971], [-1.373, -2.818, -3.845], [3.469, -3.613, 1.409]], "species": ["Y", "Mn", "Hf", "Bi", "Bi"], "fractional_positions": [[0.000, 0.500, 0.000], [0.000, 0.000, 0.000], [0.500, 0.500, 0.500], [0.000, 0.000, 0.500], [0.500, 0.000, 0.000]], "spacegroup": "No. 123"}

Model B:
{"formula": "YHfMnBi2", "functional": "GGA-PBE", "state": "optimized geometry", "cell": [[-3.176, 4.632, -0.986], [-3.543, -1.832, 2.807], [2.296, 2.544, 4.558]], "species": ["Y", "Mn", "Hf", "Bi", "Bi"], "fractional_positions": [[0.000, 0.000, 0.000], [0.000, 0.500, 0.000], [0.500, 0.500, 0.500], [0.000, 0.000, 0.500], [0.500, 0.000, 0.000]], "spacegroup": "No. 123"}

Most stable: model A